Record 1
First-principles (PBE) data for LiSc2SbO after structural relaxation, as listed in Alexandria.

Cell lengths 4.4191, 4.4191, 4.2174 Å; angles 90.00, 90.00, 90.00 degrees
Fractional coordinates of all 5 atoms:
Li 0.0000 0.0000 0.0000
Sc 0.0000 0.5000 0.5000
Sc 0.5000 0.0000 0.5000
Sb 0.5000 0.5000 0.0000
O 0.0000 0.0000 0.5000

Properties
space-group type	P4/mmm



Record 2
First-principles (PBE) data for LiSi2SbO8 after structural relaxation, as listed in Alexandria.

Cell lengths 5.5094, 5.5094, 5.5094 Å; angles 107.18, 107.18, 114.15 degrees
Fractional coordinates of all 12 atoms:
Li 0.0000 0.0000 0.0000
Si 0.5000 0.5000 0.0000
Si 0.7500 0.2500 0.5000
Sb 0.2500 0.7500 0.5000
O 0.3358 0.1365 0.8007
O 0.3358 0.5352 0.1993
O 0.3784 0.0647 0.3137
O 0.4648 0.6642 0.8007
O 0.7511 0.0647 0.6863
O 0.8635 0.6642 0.1993
O 0.9353 0.2489 0.3137
O 0.9353 0.6216 0.6863

Properties
space-group type	I-4m2



Record 3
First-principles (PBE) data for Li2Sm4Sb3O2 after structural relaxation, as listed in Alexandria.

Cell lengths 12.3177, 12.3177, 12.3177 Å; angles 157.41, 157.41, 32.17 degrees
Fractional coordinates of all 11 atoms:
Li 0.1957 0.1957 0.0000
Li 0.8043 0.8043 0.0000
Sm 0.0951 0.5951 0.5000
Sm 0.4049 0.9049 0.5000
Sm 0.5951 0.0951 0.5000
Sm 0.9049 0.4049 0.5000
Sb 0.3175 0.3175 0.0000
Sb 0.5000 0.5000 0.0000
Sb 0.6825 0.6825 0.0000
O 0.1021 0.1021 0.0000
O 0.8979 0.8979 0.0000

Properties
space-group type	I4/mmm



Record 4
First-principles (PBE) data for Li2SnSbO6 after structural relaxation, as listed in Alexandria.

Cell lengths 5.5514, 5.5514, 5.5514 Å; angles 56.41, 56.41, 56.41 degrees
Fractional coordinates of all 10 atoms:
Li 0.0000 0.0000 0.0000
Li 0.4967 0.4967 0.4967
Sn 0.2152 0.2152 0.2152
Sb 0.7138 0.7138 0.7138
O 0.0963 0.4468 0.8185
O 0.3286 0.9323 0.6096
O 0.4468 0.8185 0.0963
O 0.6096 0.3286 0.9323
O 0.8185 0.0963 0.4468
O 0.9323 0.6096 0.3286

Properties
space-group type	R3



The evaluated VASP energy for the records listed, in turn: -31.5 -76.3 -61.7 -56.9 eV for the cell shown.